[1]
# CaCrSe2 | the Alexandria database | GGA-PBE | optimized geometry
data_CaCrSe2
_chemical_formula_sum 'Ca2 Cr2 Se4'
_space_group_name_H-M_alt 'C m m m'
_space_group_IT_number 65
_space_group_name_Hall '-C 2 2'
_cell_length_a 3.9034
_cell_length_b 7.2342
_cell_length_c 7.3555
_cell_angle_alpha 90.00
_cell_angle_beta 90.00
_cell_angle_gamma 90.00
loop_
_atom_site_label
_atom_site_fract_x
_atom_site_fract_y
_atom_site_fract_z
_atom_site_occupancy
Ca1 0.0000 0.0000 0.0000 1
Cr1 0.0000 0.0000 0.5000 1
Se1 0.0000 0.5000 0.2742 1
# Fermi-level density of states: 0.13 states/eV/f.u.
# Theoretical density: 4.0 g/cm³
# Total DFT energy (no corrections): -0.4022 Ry per atom



[2]
# CaCrSe2 | the Alexandria database | GGA-PBE | optimized geometry
data_CaCrSe2
_chemical_formula_sum 'Ca2 Cr2 Se4'
_space_group_name_H-M_alt 'A m m 2'
_space_group_IT_number 38
_space_group_name_Hall 'A 2 -2'
_cell_length_a 4.7326
_cell_length_b 3.9126
_cell_length_c 10.6050
_cell_angle_alpha 90.00
_cell_angle_beta 90.00
_cell_angle_gamma 90.00
loop_
_atom_site_label
_atom_site_fract_x
_atom_site_fract_y
_atom_site_fract_z
_atom_site_occupancy
Ca1 0.0000 0.0000 0.0000 1
Cr1 0.5000 0.0000 0.7751 1
Se1 0.0000 0.0000 0.7054 1
Se2 0.5000 0.0000 0.4297 1
# Fermi-level density of states: 1.74 states/eV/f.u.
# Theoretical density: 4.2 g/cm³
# Total DFT energy (no corrections): -0.4130 Ry per atom



[3]
# Ca3Cr5Se12 | the Alexandria database | GGA-PBE | optimized geometry
data_Ca3Cr5Se12
_chemical_formula_sum 'Ca24 Cr40 Se96'
_space_group_name_H-M_alt 'I a -3 d'
_space_group_IT_number 230
_space_group_name_Hall '-I 4bd 2c 3'
_cell_length_a 15.7200
_cell_length_b 15.7200
_cell_length_c 15.7200
_cell_angle_alpha 90.00
_cell_angle_beta 90.00
_cell_angle_gamma 90.00
loop_
_atom_site_label
_atom_site_fract_x
_atom_site_fract_y
_atom_site_fract_z
_atom_site_occupancy
Ca1 0.0000 0.2500 0.1250 1
Cr1 0.0000 0.0000 0.0000 1
Cr2 0.0000 0.2500 0.3750 1
Se1 0.0330 0.0571 0.6482 1
# Fermi-level density of states: 9.68 states/eV/f.u.
# Theoretical density: 4.5 g/cm³
# Total DFT energy (no corrections): -0.4094 Ry per atom



[4]
# CaCrSe2 | the Alexandria database | GGA-PBE | optimized geometry
data_CaCrSe2
_chemical_formula_sum 'Ca4 Cr4 Se8'
_space_group_name_H-M_alt 'F m -3 m'
_space_group_IT_number 225
_space_group_name_Hall '-F 4 2 3'
_cell_length_a 6.6505
_cell_length_b 6.6505
_cell_length_c 6.6505
_cell_angle_alpha 90.00
_cell_angle_beta 90.00
_cell_angle_gamma 90.00
loop_
_atom_site_label
_atom_site_fract_x
_atom_site_fract_y
_atom_site_fract_z
_atom_site_occupancy
Ca1 0.0000 0.0000 0.0000 1
Cr1 0.0000 0.0000 0.5000 1
Se1 0.2500 0.2500 0.2500 1
# Fermi-level density of states: 1.32 states/eV/f.u.
# Theoretical density: 5.6 g/cm³
# Total DFT energy (no corrections): -0.3703 Ry per atom